Material: La3ScSn3
Method: DFT, GGA-PBE
State: relaxed

Properties
SG = C2/m, No. 12
energy = -0.1932 Ha/atom
spin magnetization = 0.00 Bohr magnetons per cell

extended XYZ file:
```
14
Lattice="8.034 0.278 0.143 -3.331 7.316 0.143 -0.561 -0.905 8.123" Properties=species:S:1:pos:R:3 pbc="T T T"
Sn -0.010 -0.015 6.455
Sn 3.268 0.927 2.479
Sn -0.626 3.339 2.479
Sn 0.874 5.762 5.930
Sn 4.152 6.704 1.954
Sn 4.769 3.349 5.930
La -0.750 5.718 0.143
La -1.776 5.727 4.205
La 5.453 1.876 0.143
La 5.919 0.961 4.205
La 1.499 2.421 5.339
La 2.643 4.268 3.070
Sc 3.231 5.217 7.347
Sc 0.911 1.472 1.062
```

=====

Material: BRu
Method: DFT, GGA-PBE
State: relaxed

Properties
SG = P2_1/m, No. 11
energy = -0.2996 Ha/atom
spin magnetization = 0.00 Bohr magnetons per cell

extended XYZ file:
```
4
Lattice="3.609 0.000 -0.003 0.000 2.815 0.000 -1.219 0.000 3.948" Properties=species:S:1:pos:R:3 pbc="T T T"
Ru 0.337 0.704 1.116
Ru 2.053 2.112 2.828
B 1.960 2.112 0.611
B 0.430 0.704 3.333
```

=====

Material: La2AlN
Method: DFT, GGA-PBE
State: relaxed

Properties
SG = Fm-3m, No. 225
polymorph energy (0 for the lowest one) = 0.8507 eV/atom
spin magnetization = 0.00 Bohr magnetons per cell

extended XYZ file:
```
4
Lattice="0.000 3.571 3.571 3.571 0.000 3.571 3.571 3.571 0.000" Properties=species:S:1:pos:R:3 pbc="T T T"
Al 3.571 3.571 3.571
N 0.000 0.000 0.000
La 1.786 1.786 1.786
La 5.357 5.357 5.357
```

=====

Material: SrScAl4
Method: DFT, GGA-PBE
State: relaxed

Properties
SG = F-43m, No. 216
energy = -0.1514 Ha/atom
spin magnetization = 0.00 Bohr magnetons per cell

extended XYZ file:
```
6
Lattice="-3.094 -4.573 0.964 1.741 -5.000 -1.839 1.774 -3.866 3.649" Properties=species:S:1:pos:R:3 pbc="T T T"
Al 0.263 -8.391 1.732
Al -0.620 -6.467 -0.084
Al 1.802 -6.116 1.252
Al -0.603 -5.903 2.647
Sr 0.000 0.000 0.000
Sc 0.105 -3.360 0.693
```

=====

Material: KNb2PbO6
Method: DFT, GGA-PBE
State: relaxed

Properties
SG = C2/c, No. 15
energy = -0.2773 Ha/atom
spin magnetization = 2.05 Bohr magnetons per cell

extended XYZ file:
```
20
Lattice="6.463 -0.140 -0.146 1.944 7.824 0.402 1.944 0.112 7.834" Properties=species:S:1:pos:R:3 pbc="T T T"
Nb 5.783 1.354 2.861
Nb 2.551 2.879 1.532
Nb 7.799 4.917 6.558
Nb 4.568 6.441 5.230
O 2.658 0.169 5.904
O 2.291 4.696 1.295
O 7.515 2.221 2.524
O 4.283 2.510 2.386
O 4.461 1.973 7.775
O 6.067 5.286 5.705
O 8.060 3.100 6.795
O 7.692 7.626 2.187
O 5.523 1.050 4.668
O 4.828 6.746 3.423
O 2.836 5.575 5.566
O 5.890 5.823 0.315
Pb 6.791 5.516 2.416
Pb 3.560 2.280 5.674
K 6.791 0.756 7.003
K 3.560 7.040 1.088
```

=====

Material: CePu2Si6
Method: DFT, GGA-PBE
State: relaxed

Properties
SG = P6/mmm, No. 191
polymorph energy (0 for the lowest one) = 0.0000 eV/atom
spin magnetization = 10.14 Bohr magnetons per cell

extended XYZ file:
```
9
Lattice="4.010 0.000 0.000 0.000 6.070 -3.505 0.000 0.000 7.009" Properties=species:S:1:pos:R:3 pbc="T T T"
Si 2.005 2.029 1.171
Si 2.005 0.000 2.343
Si 2.005 0.000 4.667
Si 2.005 4.042 2.333
Si 2.005 2.029 -1.171
Si 2.005 4.042 4.676
Pu 0.000 2.023 3.505
Pu 4.010 4.047 0.000
Ce 0.000 0.000 0.000
```

=====

Material: Li2ZnMo
Method: DFT, GGA-PBE
State: relaxed

Properties
SG = Cm, No. 8
energy = -0.1370 Ha/atom
spin magnetization = 0.28 Bohr magnetons per cell

extended XYZ file:
```
4
Lattice="-0.912 2.814 -4.433 -1.354 0.471 -5.133 -5.049 1.210 -0.861" Properties=species:S:1:pos:R:3 pbc="T T T"
Mo -4.197 2.351 -5.221
Zn -4.936 3.237 -7.718
Li -0.507 0.148 -0.175
Li -1.332 1.006 -2.528
```

=====

Material: Er4GaTeSe2
Method: DFT, GGA-PBE
State: relaxed

Properties
SG = P2/m, No. 10
energy = -0.1930 Ha/atom
spin magnetization = 0.00 Bohr magnetons per cell

extended XYZ file:
```
8
Lattice="4.058 0.000 0.000 0.000 7.203 -0.170 0.000 2.513 6.867" Properties=species:S:1:pos:R:3 pbc="T T T"
Se 2.029 1.256 3.434
Se 0.000 2.513 6.867
Ga 0.000 4.858 3.349
Er 2.029 3.672 5.015
Er 0.000 7.269 4.852
Er 2.029 6.044 1.683
Er 4.058 2.447 1.845
Te 2.029 6.114 6.782
```

=====

Material: ZrV3Cl
Method: DFT, GGA-PBE
State: relaxed

Properties
SG = Pm-3m, No. 221
polymorph energy (0 for the lowest one) = 1.4547 eV/atom
spin magnetization = 6.62 Bohr magnetons per cell

extended XYZ file:
```
5
Lattice="4.933 0.000 0.000 0.000 4.933 0.000 0.000 0.000 4.933" Properties=species:S:1:pos:R:3 pbc="T T T"
V 2.466 0.000 0.000
V 0.000 2.466 0.000
V 0.000 0.000 2.466
Zr 0.000 0.000 0.000
Cl 2.466 2.466 2.466
```

=====

Material: ScP2Pt
Method: DFT, GGA-PBE
State: relaxed

Properties
SG = Cmcm, No. 63
polymorph energy (0 for the lowest one) = 0.0332 eV/atom
spin magnetization = 0.00 Bohr magnetons per cell

extended XYZ file:
```
8
Lattice="0.494 5.998 -0.192 -0.608 -4.941 -3.386 -6.344 0.534 0.360" Properties=species:S:1:pos:R:3 pbc="T T T"
Sc -5.178 -2.671 -2.570
Sc -1.280 4.261 -0.648
Pt -2.057 -3.445 -2.898
Pt -4.401 5.036 -0.320
P -3.469 -0.243 -1.908
P -0.086 1.588 -1.475
P -2.989 1.833 -1.310
P -6.372 0.002 -1.743
```

=====

Material: BaMgCd2Mo
Method: DFT, GGA-PBE
State: relaxed

Properties
SG = P4/mmm, No. 123
energy = -0.0899 Ha/atom
spin magnetization = 1.71 Bohr magnetons per cell

extended XYZ file:
```
5
Lattice="-0.085 -2.796 -4.726 2.239 -4.409 2.568 -5.028 -1.860 1.191" Properties=species:S:1:pos:R:3 pbc="T T T"
Mg -1.437 -4.532 -0.484
Mo 0.000 0.000 0.000
Cd -2.514 -0.930 0.595
Cd -0.043 -1.398 -2.363
Ba 1.119 -2.205 1.284
```

=====

Material: Cs2NiCl4
Method: DFT, GGA-PBE
State: relaxed

Properties
SG = P4/mmm, No. 123
polymorph energy (0 for the lowest one) = 0.0000 eV/atom
spin magnetization = 0.15 Bohr magnetons per cell

extended XYZ file:
```
7
Lattice="4.754 0.000 0.000 0.000 7.499 0.000 0.000 0.000 7.499" Properties=species:S:1:pos:R:3 pbc="T T T"
Ni 0.000 0.000 0.000
Cl 0.000 5.940 1.560
Cl 0.000 1.560 5.940
Cl 0.000 5.940 5.940
Cl 0.000 1.560 1.560
Cs 2.377 0.000 3.750
Cs 2.377 3.750 0.000
```

=====

Material: RbReP2W
Method: DFT, GGA-PBE
State: relaxed

Properties
SG = P4/mmm, No. 123
energy = -0.2373 Ha/atom
spin magnetization = 3.25 Bohr magnetons per cell

extended XYZ file:
```
5
Lattice="-1.830 2.984 3.311 1.488 -3.192 3.699 4.230 2.290 0.274" Properties=species:S:1:pos:R:3 pbc="T T T"
Rb 1.944 1.040 3.642
P -0.915 1.492 1.655
P 2.115 1.145 0.137
Re 0.744 -1.596 1.849
W 0.000 0.000 0.000
```

=====

Material: BeCO
Method: DFT, GGA-PBE
State: relaxed

Properties
SG = P1, No. 1
polymorph energy (0 for the lowest one) = 0.6335 eV/atom
spin magnetization = 0.00 Bohr magnetons per cell

extended XYZ file:
```
6
Lattice="2.912 0.000 -0.002 0.015 4.572 -0.017 0.576 0.113 4.948" Properties=species:S:1:pos:R:3 pbc="T T T"
O 2.971 3.534 2.425
O 1.590 2.086 0.709
Be 0.136 2.809 0.858
Be 1.574 0.713 0.086
C 0.729 4.503 4.611
C 0.449 4.013 3.465
```

=====

Material: Cs2MgZnCl6
Method: DFT, GGA-PBE
State: relaxed

Properties
SG = R-3m, No. 166
polymorph energy (0 for the lowest one) = 0.0000 eV/atom
spin magnetization = 0.00 Bohr magnetons per cell

extended XYZ file:
```
20
Lattice="7.325 0.000 0.000 3.663 6.344 0.000 3.663 2.115 12.013" Properties=species:S:1:pos:R:3 pbc="T T T"
Cl 9.156 3.172 10.549
Cl 9.015 5.205 7.586
Cl 5.635 5.205 7.586
Cl 7.325 6.343 10.549
Cl 7.325 2.278 7.586
Cl 9.015 3.254 4.426
Cl 5.495 5.286 1.463
Cl 7.325 2.116 1.463
Cl 9.156 5.286 1.463
Cl 5.635 3.254 4.426
Cl 5.495 3.172 10.549
Cl 7.325 6.181 4.426
Zn 7.325 4.229 9.160
Zn 7.325 4.229 2.853
Cs 3.663 2.115 1.553
Cs 10.988 6.344 4.533
Cs 10.988 6.344 10.460
Cs 3.663 2.115 7.480
Mg 7.325 4.229 6.006
Mg 0.000 0.000 0.000
```

=====

Material: CsGa12Pt6
Method: DFT, GGA-PBE
State: relaxed

Properties
SG = R-3m, No. 166
energy = -0.1613 Ha/atom
spin magnetization = 0.00 Bohr magnetons per cell

extended XYZ file:
```
19
Lattice="-0.122 -5.159 -5.252 5.478 -1.998 4.495 -6.149 -1.111 3.893" Properties=species:S:1:pos:R:3 pbc="T T T"
Ga 1.011 -5.396 3.054
Ga -2.543 -5.345 -2.167
Ga -0.499 -6.248 0.427
Ga -2.707 -2.583 5.073
Ga 1.331 -3.111 0.244
Ga -4.853 -3.794 1.338
Ga -1.804 -2.872 0.082
Ga -2.124 -5.157 2.892
Ga 1.750 -2.923 5.304
Ga 1.914 -5.685 -1.937
Ga 4.060 -4.474 1.799
Ga -0.294 -2.020 2.710
Cs 0.000 0.000 0.000
Pt 2.020 -5.549 0.639
Pt -2.813 -2.719 2.498
Pt 2.098 -3.094 2.752
Pt -2.891 -5.175 0.385
Pt -0.267 -4.428 -1.365
Pt -0.526 -3.840 4.501
```

=====

Material: SbIr2Br
Method: DFT, GGA-PBE
State: relaxed

Properties
SG = Pmmm, No. 47
polymorph energy (0 for the lowest one) = 0.2620 eV/atom
spin magnetization = 0.00 Bohr magnetons per cell

extended XYZ file:
```
4
Lattice="3.163 0.000 0.000 0.000 3.413 0.000 0.000 0.000 7.073" Properties=species:S:1:pos:R:3 pbc="T T T"
Ir 0.000 0.000 0.346
Ir 0.000 0.000 3.191
Br 1.581 1.706 5.305
Sb 1.581 1.706 1.768
```

=====

Material: CaNiSeN2
Method: DFT, GGA-PBE
State: relaxed

Properties
SG = P4/mmm, No. 123
polymorph energy (0 for the lowest one) = 0.0000 eV/atom
spin magnetization = 3.21 Bohr magnetons per cell

extended XYZ file:
```
5
Lattice="-2.706 2.772 -0.455 -3.294 -3.480 -1.610 -1.196 -0.565 3.670" Properties=species:S:1:pos:R:3 pbc="T T T"
N -1.353 1.386 -0.228
N -0.598 -0.283 1.835
Ca -3.598 -0.636 0.802
Se -1.647 -1.740 -0.805
Ni 0.000 0.000 0.000
```

=====

Material: BaAs2N2
Method: DFT, GGA-PBE
State: relaxed

Properties
SG = C2/m, No. 12
energy = -0.2046 Ha/atom
spin magnetization = 0.00 Bohr magnetons per cell

extended XYZ file:
```
5
Lattice="-1.042 3.471 2.831 -6.624 -0.738 -2.952 0.325 -2.696 1.642" Properties=species:S:1:pos:R:3 pbc="T T T"
Ba 0.000 0.000 0.000
N -1.713 -0.797 2.100
N -5.628 0.834 -0.580
As -2.955 0.653 1.660
As -4.387 -0.616 -0.139
```

=====

Material: MgCd4In4
Method: DFT, GGA-PBE
State: relaxed

Properties
SG = I4/mmm, No. 139
energy = -0.0659 Ha/atom
spin magnetization = 0.00 Bohr magnetons per cell

extended XYZ file:
```
9
Lattice="4.215 0.000 1.272 2.107 7.056 0.636 0.068 0.000 7.391" Properties=species:S:1:pos:R:3 pbc="T T T"
Cd 3.917 1.153 6.067
Cd 3.916 5.909 6.072
Cd 2.473 5.904 3.233
Cd 2.475 1.148 3.229
In 1.053 1.195 0.321
In 1.796 3.525 5.476
In 5.338 5.862 8.979
In 4.594 3.531 3.825
Mg 3.161 3.528 0.954
```

=====

Material: TcAg2As
Method: DFT, GGA-PBE
State: relaxed

Properties
SG = R3m, No. 160
energy = -0.1841 Ha/atom
spin magnetization = 0.00 Bohr magnetons per cell

extended XYZ file:
```
4
Lattice="9.057 -0.016 -0.009 8.562 2.953 -0.009 8.562 1.428 2.586" Properties=species:S:1:pos:R:3 pbc="T T T"
As 12.810 2.136 1.256
Tc 19.831 3.307 1.944
Ag 6.544 1.091 0.642
Ag 0.086 0.014 0.008
```

=====

Material: TbTmRh
Method: DFT, GGA-PBE
State: relaxed

Properties
SG = Fmmm, No. 69
polymorph energy (0 for the lowest one) = 0.0660 eV/atom
spin magnetization = 0.00 Bohr magnetons per cell

extended XYZ file:
```
6
Lattice="-2.916 -3.165 1.298 2.428 -3.115 -2.147 4.123 2.036 6.426" Properties=species:S:1:pos:R:3 pbc="T T T"
Tb 0.379 -1.714 0.563
Tb 3.255 -2.529 5.013
Tm 3.275 -0.539 2.139
Tm 0.603 -0.564 3.862
Rh 0.593 -4.981 0.848
Rh 3.041 0.737 4.729
```

=====

Material: GdTmInPt
Method: DFT, GGA-PBE
State: relaxed

Properties
SG = F-43m, No. 216
energy = -0.2785 Ha/atom
spin magnetization = 7.14 Bohr magnetons per cell

extended XYZ file:
```
4
Lattice="-3.574 -3.412 1.350 1.389 -4.522 1.966 -0.840 -1.007 4.952" Properties=species:S:1:pos:R:3 pbc="T T T"
Pt -1.513 -4.470 4.134
In 0.000 0.000 0.000
Gd -0.756 -2.235 2.067
Tm -2.269 -6.706 6.201
```

=====

Material: Sc2TaIr
Method: DFT, GGA-PBE
State: relaxed

Properties
SG = Pm, No. 6
polymorph energy (0 for the lowest one) = 0.1279 eV/atom
spin magnetization = 0.00 Bohr magnetons per cell

extended XYZ file:
```
4
Lattice="4.498 0.000 0.000 0.000 3.038 0.003 0.000 1.332 5.491" Properties=species:S:1:pos:R:3 pbc="T T T"
Sc 2.249 1.067 1.439
Sc 0.000 4.240 5.378
Ta 0.000 2.402 2.862
Ir 2.249 3.217 4.054
```

=====

Material: Cs2PrBr3Cl3
Method: DFT, GGA-PBE
State: relaxed

Properties
SG = P-62m, No. 189
energy = -0.1327 Ha/atom
spin magnetization = 1.14 Bohr magnetons per cell

extended XYZ file:
```
9
Lattice="4.487 0.000 0.000 0.000 9.019 0.000 0.000 -4.509 7.810" Properties=species:S:1:pos:R:3 pbc="T T T"
Cl 2.244 7.058 0.000
Cl 2.244 -3.529 6.112
Cl 2.244 0.980 1.698
Br 0.000 2.962 5.130
Br 0.000 -1.548 2.681
Br 0.000 3.095 0.000
Cs 2.244 0.000 5.207
Cs 2.244 4.509 2.603
Pr 0.000 0.000 0.000
```